Sm2Al3Cu12Pt after structural relaxation. Source: Alexandria via LeMat-Bulk, functional PBE-GGA.

Calculated values
The total DFT energy (no corrections) is -4.220 eV/atom. For the formation energy, the calculation gives -0.1 kcal/mol of atoms.

Cell: 5.2729 5.2729 36.1220 Å, 90.00 90.00 120.00°
Space group R-3m (No. 166, hexagonal axes)
Unique sites:
Sm (0.0000, 0.0000, 0.1434)
Al (0.0000, 0.5000, 0.0000)
Cu (0.0006, 0.5003, 0.8919)
Cu (0.0162, 0.5081, 0.6116)
Pt (0.0000, 0.0000, 0.5000)

Sm2Al2CuPt5 after structural relaxation. Source: Alexandria via LeMat-Bulk, functional PBE-GGA.

Calculated values
The total DFT energy (no corrections) is -5.945 eV/atom. For the formation energy, the calculation gives -19.0 kcal/mol of atoms.

Cell: 10.202 10.202 3.439 Å, 90.00 90.00 90.00°
Space group P4/mbm (No. 127)
Unique sites:
Sm (0.176, 0.324, 0.000)
Al (0.127, 0.627, 0.000)
Cu (0.000, 0.000, 0.000)
Pt (0.000, 0.500, 0.500)
Pt (0.056, 0.802, 0.500)

SmAlCuPt2 after structural relaxation. Source: Alexandria via LeMat-Bulk, functional PBE-GGA.

Calculated values
The total DFT energy (no corrections) is -5.795 eV/atom. For the formation energy, the calculation gives -20.0 kcal/mol of atoms.

Cell: 3.910 3.910 12.174 Å, 90.00 90.00 90.00°
Space group I-4m2 (No. 119)
Unique sites:
Sm (0.000, 0.000, 0.000)
Al (0.000, 0.500, 0.250)
Cu (0.000, 0.500, 0.750)
Pt (0.000, 0.000, 0.387)

Sm2Al4CuPt3 after structural relaxation. Source: Alexandria via LeMat-Bulk, functional PBE-GGA.

Calculated values
The total DFT energy (no corrections) is -5.630 eV/atom. For the formation energy, the calculation gives -22.3 kcal/mol of atoms.

Cell: 4.220 4.220 10.571 Å, 90.00 90.00 90.00°
Space group P-4m2 (No. 115)
Unique sites:
Sm (0.000, 0.500, 0.249)
Al (0.000, 0.000, 0.000)
Al (0.000, 0.500, 0.627)
Al (0.500, 0.500, 0.000)
Cu (0.000, 0.000, 0.500)
Pt (0.000, 0.500, 0.864)
Pt (0.500, 0.500, 0.500)

SmAl2CuPt4 after structural relaxation. Source: Alexandria via LeMat-Bulk, functional PBE-GGA.

Calculated values
The total DFT energy (no corrections) is -5.940 eV/atom. For the formation energy, the calculation gives -20.3 kcal/mol of atoms.

Cell: 4.2697 4.2697 26.1850 Å, 90.00 90.00 120.00°
Space group R-3m (No. 166, hexagonal axes)
Unique sites:
Sm (0.0000, 0.0000, 0.0000)
Al (0.0000, 0.0000, 0.2359)
Cu (0.0000, 0.0000, 0.5000)
Pt (0.0000, 0.0000, 0.1316)
Pt (0.0000, 0.0000, 0.4028)

SmAlCu2Pt4 after structural relaxation. Source: Alexandria via LeMat-Bulk, functional PBE-GGA.

Calculated values
The total DFT energy (no corrections) is -5.776 eV/atom. For the formation energy, the calculation gives -15.5 kcal/mol of atoms.

Cell: 4.3544 4.3544 24.2541 Å, 90.00 90.00 120.00°
Space group R-3m (No. 166, hexagonal axes)
Unique sites:
Sm (0.0000, 0.0000, 0.0000)
Al (0.0000, 0.0000, 0.5000)
Cu (0.0000, 0.0000, 0.2471)
Pt (0.0000, 0.0000, 0.1312)
Pt (0.0000, 0.0000, 0.3999)

SrAlCuPt2 after structural relaxation. Source: Alexandria via LeMat-Bulk, functional PBE-GGA.

Calculated values
The total DFT energy (no corrections) is -5.027 eV/atom. For the formation energy, the calculation gives -16.3 kcal/mol of atoms.

Cell: 4.159 4.159 11.378 Å, 90.00 90.00 90.00°
Space group I-4m2 (No. 119)
Unique sites:
Sr (0.000, 0.000, 0.000)
Al (0.000, 0.500, 0.750)
Cu (0.000, 0.500, 0.250)
Pt (0.000, 0.000, 0.381)

Sr2AlCu6Pt after structural relaxation. Source: Alexandria via LeMat-Bulk, functional PBE-GGA.

Calculated values
The total DFT energy (no corrections) is -3.980 eV/atom. For the formation energy, the calculation gives -4.8 kcal/mol of atoms.

Cell: 4.955 6.644 6.830 Å, 84.14 68.79 68.13°
Space group P-1 (No. 2)
Unique sites:
Sr (0.054, 0.219, 0.173)
Al (0.500, 0.000, 0.500)
Cu (0.007, 0.268, 0.712)
Cu (0.338, 0.413, 0.412)
Cu (0.487, 0.732, 0.288)
Pt (0.500, 0.500, 0.000)

SrAlCu2Pt after structural relaxation. Source: Alexandria via LeMat-Bulk, functional PBE-GGA.

Calculated values
The total DFT energy (no corrections) is -2.576 eV/atom. For the formation energy, the calculation gives 31.3 kcal/mol of atoms.

Cell: 5.218 5.218 5.382 Å, 90.00 90.00 90.00°
Space group P4/mmm (No. 123)
Unique sites:
Sr (0.000, 0.000, 0.000)
Al (0.500, 0.500, 0.500)
Cu (0.000, 0.500, 0.000)
Pt (0.000, 0.000, 0.500)

SrAl4Cu2Pt after structural relaxation. Source: Alexandria via LeMat-Bulk, functional PBE-GGA.

Calculated values
The total DFT energy (no corrections) is -4.282 eV/atom. For the formation energy, the calculation gives -9.7 kcal/mol of atoms.

Cell: 4.2250 4.2250 28.9364 Å, 90.00 90.00 120.00°
Space group R-3m (No. 166, hexagonal axes)
Unique sites:
Sr (0.0000, 0.0000, 0.0000)
Al (0.0000, 0.0000, 0.1324)
Al (0.0000, 0.0000, 0.4104)
Cu (0.0000, 0.0000, 0.2357)
Pt (0.0000, 0.0000, 0.5000)

Tb2Al3CuPt4 after structural relaxation. Source: Alexandria via LeMat-Bulk, functional PBE-GGA.

Calculated values
The total DFT energy (no corrections) is -5.876 eV/atom. For the formation energy, the calculation gives -23.1 kcal/mol of atoms.

Cell: 4.070 4.070 11.065 Å, 90.00 90.00 90.00°
Space group P-4m2 (No. 115)
Unique sites:
Tb (0.000, 0.500, 0.242)
Al (0.000, 0.000, 0.000)
Al (0.000, 0.500, 0.631)
Cu (0.500, 0.500, 0.000)
Pt (0.000, 0.000, 0.500)
Pt (0.000, 0.500, 0.855)
Pt (0.500, 0.500, 0.500)

TbAlCuPt2 after structural relaxation. Source: Alexandria via LeMat-Bulk, functional PBE-GGA.

Calculated values
The total DFT energy (no corrections) is -5.797 eV/atom. For the formation energy, the calculation gives -20.5 kcal/mol of atoms.

Cell: 3.814 3.814 12.467 Å, 90.00 90.00 90.00°
Space group I-4m2 (No. 119)
Unique sites:
Tb (0.000, 0.000, 0.000)
Al (0.000, 0.500, 0.250)
Cu (0.000, 0.500, 0.750)
Pt (0.000, 0.000, 0.390)